Entry 1:
RbCuMoSe2S | PBE | optimized geometry

Cell lengths 7.8822, 7.8822, 9.6617 Å; angles 90.00, 90.00, 151.81 degrees
Closest atoms and distances in Å follow each position.
Sites, in units of the cell vectors:
Rb: 0.2432 0.7568 0.7500  2 S 3.44, 6 Se 3.46-3.52, 2 Rb 3.84
Rb: 0.7568 0.2432 0.2500  2 S 3.44, 6 Se 3.46-3.52, 2 Rb 3.84
Cu: 0.0279 0.9721 0.2500  2 S 2.31, 2 Se 2.38
Cu: 0.9721 0.0279 0.7500  2 S 2.31, 2 Se 2.38
Mo: 0.5000 0.5000 0.0000  2 S 2.56, 4 Se 2.63
Mo: 0.5000 0.5000 0.5000  2 S 2.56, 4 Se 2.63
Se: 0.1143 0.8857 0.0445  1 Cu 2.38, 2 Mo 2.63
Se: 0.1143 0.8857 0.4555  1 Cu 2.38, 2 Mo 2.63
Se: 0.8857 0.1143 0.5445  1 Cu 2.38, 2 Mo 2.63
Se: 0.8857 0.1143 0.9555  1 Cu 2.38, 2 Mo 2.63
S: 0.4436 0.5564 0.2500  2 Cu 2.31, 2 Mo 2.56
S: 0.5564 0.4436 0.7500  2 Cu 2.31, 2 Mo 2.56

---

Entry 2:
RbCuTeMoS2 | PBE | optimized geometry

Cell lengths 8.3190, 8.3190, 10.0092 Å; angles 90.00, 90.00, 153.83 degrees
Closest atoms and distances in Å follow each position.
Sites, in units of the cell vectors:
Rb: 0.2174 0.7826 0.7500  4 S 3.34, 2 Cu 3.64, 2 Te 3.70
Rb: 0.7826 0.2174 0.2500  4 S 3.34, 2 Cu 3.64, 2 Te 3.70
Cu: 0.4746 0.5254 0.2500  2 S 2.24
Cu: 0.5254 0.4746 0.7500  2 S 2.24
Te: 0.0859 0.9141 0.2500  2 Cu 2.61, 2 Mo 2.86
Te: 0.9141 0.0859 0.7500  2 Cu 2.61, 2 Mo 2.86
Mo: 0.0000 0.0000 0.0000  4 S 2.51
Mo: 0.0000 0.0000 0.5000  4 S 2.51
S: 0.4040 0.5960 0.0573  1 Cu 2.24, 2 Mo 2.51
S: 0.4040 0.5960 0.4427  1 Cu 2.24, 2 Mo 2.51
S: 0.5960 0.4040 0.5573  1 Cu 2.24, 2 Mo 2.51
S: 0.5960 0.4040 0.9427  1 Cu 2.24, 2 Mo 2.51

---

Entry 3:
RbCu3MoSe4 | PBE | optimized geometry

Cell lengths 6.2230, 6.2230, 6.2230 Å; angles 90.00, 90.00, 90.00 degrees
Closest atoms and distances in Å follow each position.
Sites, in units of the cell vectors:
Rb: 0.0000 0.0000 0.0000  4 Se 3.00
Cu: 0.0000 0.5000 0.5000  4 Se 2.61
Cu: 0.5000 0.0000 0.5000  4 Se 2.61
Cu: 0.5000 0.5000 0.0000  4 Se 2.61
Mo: 0.5000 0.5000 0.5000  4 Se 2.39
Se: 0.2780 0.2780 0.2780  1 Mo 2.39, 3 Cu 2.61
Se: 0.2780 0.7220 0.7220  1 Mo 2.39, 3 Cu 2.61
Se: 0.7220 0.2780 0.7220  1 Mo 2.39, 3 Cu 2.61
Se: 0.7220 0.7220 0.2780  1 Mo 2.39, 3 Cu 2.61

---

Entry 4:
RbCuTeMoSe2 | PBE | optimized geometry

Cell lengths 8.3547, 8.3547, 10.2488 Å; angles 90.00, 90.00, 152.97 degrees
Closest atoms and distances in Å follow each position.
Sites, in units of the cell vectors:
Rb: 0.2296 0.7704 0.7500  4 Se 3.48, 2 Te 3.69, 2 Cu 3.81
Rb: 0.7704 0.2296 0.2500  4 Se 3.48, 2 Te 3.69, 2 Cu 3.81
Cu: 0.4716 0.5284 0.2500  2 Se 2.38, 2 Te 2.60
Cu: 0.5284 0.4716 0.7500  2 Se 2.38, 2 Te 2.60
Te: 0.0775 0.9225 0.2500  2 Cu 2.60, 2 Mo 2.85
Te: 0.9225 0.0775 0.7500  2 Cu 2.60, 2 Mo 2.85
Mo: 0.0000 0.0000 0.0000  4 Se 2.64, 2 Te 2.85
Mo: 0.0000 0.0000 0.5000  4 Se 2.64, 2 Te 2.85
Se: 0.3958 0.6042 0.0515  1 Cu 2.38, 2 Mo 2.64
Se: 0.3958 0.6042 0.4485  1 Cu 2.38, 2 Mo 2.64
Se: 0.6042 0.3958 0.5515  1 Cu 2.38, 2 Mo 2.64
Se: 0.6042 0.3958 0.9485  1 Cu 2.38, 2 Mo 2.64

---

no.,electronic total energy (eV per atom),total magnetic moment (μB/f.u.)
1,-4.974,2.00
2,-4.983,2.02
3,-4.330,1.98
4,-4.707,2.04